Here is an optimized crystal structure of SrCdRh2 from Alexandria via LeMat-Bulk. Energies are from PBE.

Output
- size of the total moment (μB per cell) = 0.00
- energy of formation (eV/atom) = 0.041

Lattice parameters (Å, degrees): 3.4111 3.4111 7.3900 90.00 90.00 90.00
Positions (direct):
1 Sr 0.0000 0.0000 0.0000
2 Cd 0.5000 0.5000 0.3424
3 Rh 0.0000 0.0000 0.5716
4 Rh 0.5000 0.5000 0.7185